Below is a relaxed TaTe2Pd crystal, with properties calculated at the PBE-GGA level.

a = 8.7124 Å, b = 6.3741 Å, c = 8.4383 Å
α = 90.00°, β = 117.93°, γ = 90.00°
Element x y z (fractional)
Ta  0.0186  0.0195  0.3033
Ta  0.0186  0.4805  0.8033
Ta  0.9814  0.5195  0.1967
Ta  0.9814  0.9805  0.6967
Te  0.2161  0.2252  0.6349
Te  0.2161  0.2748  0.1349
Te  0.3160  0.7352  0.9049
Te  0.3160  0.7648  0.4049
Te  0.6840  0.2352  0.5951
Te  0.6840  0.2648  0.0951
Te  0.7839  0.7252  0.8651
Te  0.7839  0.7748  0.3651
Pd  0.1247  0.6457  0.5575
Pd  0.1247  0.8543  0.0575
Pd  0.8753  0.1457  0.9425
Pd  0.8753  0.3543  0.4425

Properties
ΔE_f (raw) in meV/atom: -367
DOS at the Fermi energy in states/eV/atom: 0.43
Final energy in eV per atom: -6.199